# Na2VP2O8 PBE with a Hubbard U relaxed
# magnetic moment = 0.08 μB/atom
# energy relative to the lowest polymorph listed for this composition = 0.0349 eV/atom
data_Na2VP2O8
_space_group_name_H-M_alt 'P 4 b m'
_space_group_IT_number 100
_cell_length_a 8.351
_cell_length_b 8.351
_cell_length_c 5.017
_cell_angle_alpha 90.00
_cell_angle_beta 90.00
_cell_angle_gamma 90.00
loop_
_space_group_symop_operation_xyz
'x,y,z'
'-y,x,z'
'-x,-y,z'
'y,-x,z'
'-x+1/2,y+1/2,z'
'y+1/2,x+1/2,z'
'x+1/2,-y+1/2,z'
'-y+1/2,-x+1/2,z'
loop_
_atom_site_label
_atom_site_fract_x
_atom_site_fract_y
_atom_site_fract_z
Na1 0.176 0.324 0.000
V1 0.000 0.000 0.448
P1 0.129 0.629 0.464
O1 0.000 0.000 0.774
O2 0.000 0.500 0.345
O3 0.077 0.786 0.328
O4 0.129 0.629 0.763